DFT (GGA-PBE) results for a relaxed structure of KGdCO3F2. Values from VASP.

```
&SYSTEM
  ibrav = 0, nat = 32, ntyp = 5
/
ATOMIC_SPECIES
K 39.10 K.upf
Gd 157.25 Gd.upf
C 12.01 C.upf
O 16.00 O.upf
F 19.00 F.upf
CELL_PARAMETERS angstrom
0.000 5.471 10.862
3.463 0.000 10.862
3.463 5.471 0.000
ATOMIC_POSITIONS angstrom
K 0.866 1.368 0.901
K 0.866 1.368 4.530
K 6.061 9.574 17.194
K 6.061 9.574 20.823
Gd 2.597 2.098 8.147
Gd 4.329 4.833 13.578
Gd 2.597 6.109 8.147
Gd 4.329 8.844 13.578
C 2.597 4.103 5.499
C 2.597 4.103 10.794
C 4.329 6.839 10.930
C 4.329 6.839 16.225
O 3.725 4.103 4.875
O 5.457 6.839 10.306
O 2.597 4.103 6.808
O 3.725 4.104 11.419
O 1.470 4.104 4.875
O 2.597 4.103 9.485
O 4.329 6.839 12.239
O 5.457 6.838 16.850
O 3.201 6.838 10.306
O 4.329 6.839 14.916
O 1.470 4.103 11.419
O 3.201 6.839 16.850
F 2.153 2.932 2.369
F 3.042 5.275 2.369
F 4.773 5.667 7.800
F 3.042 2.932 13.925
F 3.885 8.010 7.800
F 2.153 5.275 13.925
F 3.885 5.667 19.356
F 4.773 8.010 19.356
```

Computed properties:
- Space-group type: Fddd, No. 70
- Energy: -221.9 eV/cell
- Total magnetization: 0.0 μB per formula unit


DFT (GGA-PBE) results for a relaxed structure of K2NaSmI6. Values from VASP.

```
&SYSTEM
  ibrav = 0, nat = 10, ntyp = 4
/
ATOMIC_SPECIES
K 39.10 K.upf
Na 22.99 Na.upf
Sm 150.36 Sm.upf
I 126.90 I.upf
CELL_PARAMETERS angstrom
0.000 6.162 6.162
6.162 0.000 6.162
6.162 6.162 0.000
ATOMIC_POSITIONS angstrom
K 3.081 3.081 3.081
K 9.244 9.244 9.244
Na 0.000 0.000 0.000
Sm 6.162 6.162 6.162
I 6.162 6.162 3.102
I 6.162 3.102 6.162
I 9.223 6.162 6.162
I 3.102 6.162 6.162
I 6.162 9.223 6.162
I 6.162 6.162 9.223
```

Computed properties:
- Space-group type: Fm-3m, No. 225
- Energy: -31.0 eV/cell
- Total magnetization: 0.0 μB per formula unit


DFT (GGA-PBE) results for a relaxed structure of GdTmGe4Os2. Values from VASP.

```
&SYSTEM
  ibrav = 0, nat = 8, ntyp = 4
/
ATOMIC_SPECIES
Gd 157.25 Gd.upf
Tm 168.93 Tm.upf
Ge 72.64 Ge.upf
Os 190.23 Os.upf
CELL_PARAMETERS angstrom
4.462 0.000 0.000
0.000 4.413 0.000
-2.063 0.000 8.061
ATOMIC_POSITIONS angstrom
Gd 0.000 0.000 0.000
Tm 2.293 2.206 4.659
Ge -0.277 2.206 2.392
Ge 0.123 0.000 5.691
Ge 0.123 2.206 7.068
Ge 2.613 0.000 2.328
Os 0.440 0.000 3.315
Os 1.901 2.206 1.402
```

Computed properties:
- Space-group type: Pm, No. 6
- Energy: -53.6 eV/cell
- Total magnetization: 0.0 μB per formula unit


DFT (GGA-PBE) results for a relaxed structure of TbTlAsO. Values from VASP.

```
&SYSTEM
  ibrav = 0, nat = 8, ntyp = 4
/
ATOMIC_SPECIES
Tb 158.93 Tb.upf
Tl 204.38 Tl.upf
As 74.92 As.upf
O 16.00 O.upf
CELL_PARAMETERS angstrom
5.583 0.000 0.000
0.000 6.381 0.000
0.000 0.000 5.748
ATOMIC_POSITIONS angstrom
Tb 0.000 1.167 0.000
Tb 0.000 5.214 2.874
Tl 2.791 1.327 2.478
Tl 2.791 5.054 5.352
As 2.791 1.943 5.339
As 2.791 4.438 2.465
O 0.000 0.759 2.058
O 0.000 5.622 4.932
```

Computed properties:
- Space-group type: Pmc2_1, No. 26
- Offset from the most stable computed form: 67 meV/atom
- Total magnetization: 0.0 μB per formula unit


DFT (GGA-PBE) results for a relaxed structure of HoPtNO. Values from VASP.

```
&SYSTEM
  ibrav = 0, nat = 8, ntyp = 4
/
ATOMIC_SPECIES
Ho 164.93 Ho.upf
Pt 195.08 Pt.upf
N 14.01 N.upf
O 16.00 O.upf
CELL_PARAMETERS angstrom
4.210 0.000 0.000
0.000 6.800 0.000
0.000 0.000 4.378
ATOMIC_POSITIONS angstrom
Ho 0.000 1.312 0.000
Ho 0.000 5.488 2.189
Pt 2.105 2.659 2.218
Pt 2.105 4.141 0.029
N 2.105 2.146 4.234
N 2.105 4.654 2.045
O 0.000 0.862 2.178
O 0.000 5.938 4.367
```

Computed properties:
- Space-group type: Pmc2_1, No. 26
- Offset from the most stable computed form: 176 meV/atom
- Total magnetization: 0.0 μB per formula unit


DFT (GGA-PBE) results for a relaxed structure of RbYCu. Values from VASP.

```
&SYSTEM
  ibrav = 0, nat = 3, ntyp = 3
/
ATOMIC_SPECIES
Rb 85.47 Rb.upf
Y 88.91 Y.upf
Cu 63.55 Cu.upf
CELL_PARAMETERS angstrom
0.000 3.682 3.682
3.682 0.000 3.682
3.682 3.682 0.000
ATOMIC_POSITIONS angstrom
Rb 0.000 0.000 0.000
Y 3.682 3.682 3.682
Cu 1.841 1.841 1.841
```

Computed properties:
- Space-group type: F-43m, No. 216
- Energy: -9.0 eV/cell
- Total magnetization: 0.0 μB per formula unit


DFT (GGA-PBE) results for a relaxed structure of Na3NbO4. Values from VASP.

```
&SYSTEM
  ibrav = 0, nat = 16, ntyp = 3
/
ATOMIC_SPECIES
Na 22.99 Na.upf
Nb 92.91 Nb.upf
O 16.00 O.upf
CELL_PARAMETERS angstrom
7.235 0.000 0.000
0.000 6.245 0.000
0.000 0.000 5.592
ATOMIC_POSITIONS angstrom
Na 0.000 1.029 0.000
Na 1.775 2.064 2.792
Na 1.842 4.182 5.589
Na 3.618 5.217 2.796
Na 5.393 4.182 5.589
Na 5.460 2.064 2.792
Nb 0.000 5.176 2.728
Nb 3.618 1.070 5.524
O 0.000 0.722 3.301
O 0.000 5.155 0.860
O 1.553 4.280 3.306
O 2.065 1.965 0.510
O 3.618 1.091 3.656
O 3.618 5.524 0.505
O 5.170 1.965 0.510
O 5.683 4.280 3.306
```

Computed properties:
- Space-group type: Pmn2_1, No. 31
- Energy: -102.4 eV/cell
- Total magnetization: 0.0 μB per formula unit


DFT (GGA-PBE) results for a relaxed structure of KLiHf. Values from VASP.

```
&SYSTEM
  ibrav = 0, nat = 3, ntyp = 3
/
ATOMIC_SPECIES
K 39.10 K.upf
Li 6.94 Li.upf
Hf 178.49 Hf.upf
CELL_PARAMETERS angstrom
0.000 3.678 3.678
3.678 0.000 3.678
3.678 3.678 0.000
ATOMIC_POSITIONS angstrom
K 0.000 0.000 0.000
Li 5.518 5.518 5.518
Hf 3.678 3.678 3.678
```

Computed properties:
- Space-group type: F-43m, No. 216
- Energy: -8.5 eV/cell
- Total magnetization: 1.8 μB per formula unit